Compound: NdTlCu
Source: the Open Quantum Materials Database
Functional: PBE
Structure: relaxed

Summary:
As for the final energy: -10.378 eV for the cell shown. As for the space group: F-43m (216).

```
NdTlCu
1.0
-3.623 -0.210 3.269
-2.857 3.893 0.733
-4.646 -0.063 -1.505
Cu Nd Tl
1 1 1
Direct
0.250 0.250 0.250 Cu
0.750 0.750 0.750 Nd
0.000 0.000 0.000 Tl
```

Compound: CuReGe
Source: the Open Quantum Materials Database
Functional: PBE
Structure: relaxed

Summary:
Its energy relative to the lowest polymorph listed for this composition is 97 meV/atom. As for the space group: F-43m (216).

```
CuReGe
1.0
2.972 -2.074 2.013
-1.015 -2.779 2.905
0.555 -4.045 -0.717
Ge Cu Re
1 1 1
Direct
0.750 0.750 0.750 Ge
0.250 0.250 0.250 Cu
0.000 0.000 0.000 Re
```

Compound: Fe2I
Source: the Open Quantum Materials Database
Functional: PBE
Structure: relaxed

Summary:
Its energy relative to the lowest polymorph listed for this composition is 0 meV/atom. As for the space group: Fd-3m (227).

```
Fe2I
1.0
0.000 3.739 3.739
3.739 0.000 3.739
3.739 3.739 0.000
Fe I
4 2
Direct
0.125 0.625 0.625 Fe
0.625 0.125 0.625 Fe
0.625 0.625 0.625 Fe
0.625 0.625 0.125 Fe
0.250 0.250 0.250 I
0.000 0.000 0.000 I
```

Compound: K2Ag2AsP
Source: the Open Quantum Materials Database
Functional: PBE
Structure: relaxed

Summary:
As for the final energy: -18.796 eV for the cell shown. As for the space group: P4mm (99).

```
K2Ag2AsP
1.0
4.514 0.000 0.000
0.000 4.514 0.000
0.000 0.000 7.614
K Ag P As
2 2 1 1
Direct
0.000 0.000 0.159 K
0.500 0.500 0.847 K
0.000 0.500 0.492 Ag
0.500 0.000 0.492 Ag
0.500 0.500 0.320 P
0.000 0.000 0.692 As
```

Compound: TmTlFeS3
Source: the Open Quantum Materials Database
Functional: PBE
Structure: relaxed

Summary:
As for the final energy: -133.808 eV for the cell shown. As for the space group: Pnma (62).

```
TmTlFeS3
1.0
4.063 0.000 0.000
0.000 10.976 0.000
0.000 0.000 11.847
Tl Fe S Tm
4 4 12 4
Direct
0.750 0.663 0.491 Tl
0.250 0.337 0.509 Tl
0.750 0.163 0.009 Tl
0.250 0.837 0.991 Tl
0.250 0.752 0.701 Fe
0.250 0.252 0.799 Fe
0.750 0.248 0.299 Fe
0.750 0.748 0.201 Fe
0.250 0.717 0.294 S
0.750 0.606 0.056 S
0.750 0.283 0.706 S
0.750 0.783 0.794 S
0.250 0.546 0.683 S
0.250 0.046 0.817 S
0.750 0.454 0.317 S
0.250 0.894 0.556 S
0.250 0.394 0.944 S
0.250 0.217 0.206 S
0.750 0.954 0.183 S
0.750 0.106 0.444 S
0.750 0.019 0.667 Tm
0.750 0.519 0.833 Tm
0.250 0.981 0.333 Tm
0.250 0.481 0.167 Tm
```

Compound: YNb
Source: the Open Quantum Materials Database
Functional: PBE
Structure: relaxed

Summary:
The value obtained for the formation energy is 490 meV per atom. Its energy relative to the lowest polymorph listed for this composition is 0 meV/atom. As for the space group: P-6m2 (187).

```
YNb
1.0
3.218 0.000 0.000
-1.609 2.787 0.000
0.000 0.000 5.289
Nb Y
1 1
Direct
0.667 0.333 0.750 Nb
0.333 0.667 0.250 Y
```

Compound: BaErMo
Source: the Open Quantum Materials Database
Functional: PBE
Structure: relaxed

Summary:
Its energy relative to the lowest polymorph listed for this composition is 0 meV/atom. As for the space group: F-43m (216).

```
BaErMo
1.0
-4.173 -2.979 -0.129
-4.450 1.737 1.867
-3.855 1.124 -3.190
Ba Er Mo
1 1 1
Direct
0.250 0.250 0.250 Ba
0.750 0.750 0.750 Er
0.000 0.000 0.000 Mo
```

Compound: NaNbFeSi
Source: the Open Quantum Materials Database
Functional: PBE
Structure: relaxed

Summary:
Its energy relative to the lowest polymorph listed for this composition is 131 meV/atom. As for the space group: F-43m (216).

```
NaNbFeSi
1.0
0.000 3.144 3.144
3.144 0.000 3.144
3.144 3.144 0.000
Si Na Nb Fe
1 1 1 1
Direct
0.000 0.000 0.000 Si
0.750 0.750 0.750 Na
0.250 0.250 0.250 Nb
0.500 0.500 0.500 Fe
```

Compound: Sm2HoNi2B2N3
Source: the Open Quantum Materials Database
Functional: PBE
Structure: relaxed

Summary:
As for the final energy: -75.075 eV for the cell shown. As for the space group: I4/mmm (139).

```
Sm2HoNi2B2N3
1.0
8.164 -5.065 3.858
4.251 -7.853 5.239
-6.021 5.146 -6.668
Sm Ni Ho B N
2 2 1 2 3
Direct
0.376 0.376 0.000 Sm
0.624 0.624 0.000 Sm
0.750 0.250 0.500 Ni
0.250 0.750 0.500 Ni
0.000 0.000 0.000 Ho
0.190 0.190 0.000 B
0.810 0.810 0.000 B
0.500 0.500 0.000 N
0.117 0.117 0.000 N
0.883 0.883 0.000 N
```

Compound: Tm5AlZn4
Source: the Open Quantum Materials Database
Functional: PBE
Structure: relaxed

Summary:
As for the final energy: -34.826 eV for the cell shown. As for the space group: P4/mmm (123).

```
Tm5AlZn4
1.0
3.513 0.000 0.000
0.000 3.513 0.000
0.000 0.000 17.666
Tm Al Zn
5 1 4
Direct
0.500 0.500 0.896 Tm
0.500 0.500 0.699 Tm
0.500 0.500 0.500 Tm
0.500 0.500 0.301 Tm
0.500 0.500 0.104 Tm
0.000 0.000 0.000 Al
0.000 0.000 0.202 Zn
0.000 0.000 0.798 Zn
0.000 0.000 0.400 Zn
0.000 0.000 0.600 Zn
```

Compound: Nd2Y2BI3Br2
Source: the Open Quantum Materials Database
Functional: PBE
Structure: relaxed

Summary:
As for the final energy: -49.410 eV for the cell shown. As for the space group: C2/m (12).

```
Nd2Y2BI3Br2
1.0
9.431 -2.045 0.000
9.431 2.045 0.000
-1.871 0.000 8.706
Y Nd I B Br
2 2 3 1 2
Direct
0.637 0.637 0.070 Y
0.363 0.363 0.930 Y
0.001 0.001 0.798 Nd
0.999 0.999 0.202 Nd
0.500 0.500 0.500 I
0.824 0.824 0.167 I
0.176 0.176 0.833 I
0.500 0.500 0.000 B
0.838 0.838 0.693 Br
0.162 0.162 0.307 Br
```

Compound: TbHfPa
Source: the Open Quantum Materials Database
Functional: PBE
Structure: relaxed

Summary:
The value obtained for the formation energy is 914 meV per atom. Its energy relative to the lowest polymorph listed for this composition is 0 meV/atom. As for the space group: F-43m (216).

```
TbHfPa
1.0
0.000 3.550 3.550
3.550 0.000 3.550
3.550 3.550 0.000
Tb Pa Hf
1 1 1
Direct
0.750 0.750 0.750 Tb
0.250 0.250 0.250 Pa
0.000 0.000 0.000 Hf
```

Compound: Li4MgAl2Ag
Source: the Open Quantum Materials Database
Functional: PBE
Structure: relaxed

Summary:
As for the final energy: -20.918 eV for the cell shown. As for the space group: P-4m2 (115).

```
Li4MgAl2Ag
1.0
4.505 0.000 0.000
0.000 4.505 0.000
0.000 0.000 6.448
Mg Al Li Ag
1 2 4 1
Direct
0.500 0.500 0.500 Mg
0.500 0.000 0.231 Al
0.000 0.500 0.769 Al
0.500 0.500 0.000 Li
0.500 0.000 0.767 Li
0.000 0.000 0.500 Li
0.000 0.500 0.233 Li
0.000 0.000 0.000 Ag
```